1.
Below is TlCdH after structural relaxation, with properties calculated at the PBE level.

Cell lengths 3.148, 4.587, 8.724 Å; angles 90.00, 100.40, 90.00 degrees
Element x y z (fractional)
Tl1 0.077 0.250 0.155
Tl2 0.923 0.750 0.845
H1 0.956 0.250 0.913
H2 0.044 0.750 0.087
Cd1 0.712 0.750 0.424
Cd2 0.288 0.250 0.576

Output
Total moment in μB/f.u.: 0.00
Symmetry: Cmcm
Distance to the lowest polymorph of the same formula in meV per atom: 95.9

2.
Below is Sc4Co2Hg after structural relaxation, with properties calculated at the PBE level.

Cell lengths 4.743, 4.743, 13.411 Å; angles 90.00, 90.00, 120.03 degrees
Element x y z (fractional)
Hg1 0.499 0.501 0.250
Hg2 0.501 0.499 0.750
Co1 0.166 0.834 0.443
Co2 0.834 0.166 0.557
Co3 0.834 0.166 0.943
Co4 0.166 0.834 0.057
Sc1 0.500 0.500 0.000
Sc2 0.167 0.833 0.622
Sc3 0.500 0.500 0.500
Sc4 0.834 0.166 0.750
Sc5 0.166 0.834 0.250
Sc6 0.833 0.167 0.122
Sc7 0.833 0.167 0.378
Sc8 0.167 0.833 0.878

Output
Total moment in μB/f.u.: 0.00
E_form in meV per atom: -248
Symmetry: Cmcm